Density functional theory data (PBE) for a geometry-optimized Ac2Hg5Pd3 structure.

Summary:
**Density of states at the Fermi level**: 7.34 states/eV/cell
**Energy relative to the lowest polymorph listed for this composition**: 0.000 eV per atom
**Crystal system**: orthorhombic
**SG**: Cmc2_1
**E_tot**: -3.026 eV/atom
**ΔH_f (0 K)**: -0.50 eV per atom
**Total moment**: 0.00 Bohr magnetons per cell

The structure in extended XYZ format:
```
20
Lattice="4.5573 0.0000 -0.7763 0.0000 7.8020 0.0000 0.0018 0.0000 13.7752" Properties=species:S:1:pos:R:3 pbc="T T T"
Ac 2.1585 6.0938 12.6710
Ac 0.8110 5.4581 4.7606
Ac 3.7481 1.5571 8.2382
Ac 2.4006 2.1928 0.3278
Hg 1.8300 3.1436 10.7430
Hg 1.3474 3.9362 7.9097
Hg 3.2117 0.0352 5.0892
Hg 0.5797 1.9717 3.4030
Hg 1.3428 6.9230 7.8831
Hg 4.3154 0.8872 11.5686
Hg 3.2162 3.0221 5.1158
Hg 3.9794 5.8726 9.5958
Hg 0.2436 4.7881 1.4303
Hg 2.7290 7.0445 2.2559
Pd 3.4821 5.4122 6.6764
Pd 2.7867 4.1374 2.5940
Pd 0.2036 7.7938 1.1952
Pd 1.0770 1.5112 6.3225
Pd 4.3555 3.8928 11.8037
Pd 1.7724 0.2364 10.4048
```

Density functional theory data (PBE) for a geometry-optimized TlAgAu2F structure.

Summary:
**Density of states at the Fermi level**: 3.04 states/eV/cell
**Crystal system**: tetragonal
**SG**: P4/mmm
**E_tot**: -2.189 eV/atom
**Total moment**: 0.00 Bohr magnetons per cell

The structure in extended XYZ format:
```
5
Lattice="-4.1728 2.7107 1.6919 -2.7623 -4.7689 0.8276 1.8503 -0.2189 4.9144" Properties=species:S:1:pos:R:3 pbc="T T T"
Tl 0.0000 0.0000 0.0000
Au 0.9252 -0.1095 2.4572
Au -2.0864 1.3553 0.8459
Ag -1.3812 -2.3844 0.4138
F -2.5424 -1.1386 3.7169
```

Density functional theory data (PBE) for a geometry-optimized K2Er2NpTe6 structure.

Summary:
**Density of states at the Fermi level**: 3.54 states/eV/cell
**Crystal system**: monoclinic
**SG**: C2/m
**E_tot**: -5.080 eV/atom
**Total moment**: 3.00 Bohr magnetons per cell

The structure in extended XYZ format:
```
11
Lattice="-3.3572 6.4953 -2.1833 -2.1785 -3.4369 6.4551 7.6157 3.3980 2.8677" Properties=species:S:1:pos:R:3 pbc="T T T"
K -3.1606 4.8382 -0.7421
K -2.3752 -1.7798 5.0139
Er 1.2374 1.5644 5.0168
Er 0.8425 4.8920 2.1227
Np 3.8079 1.6990 1.4339
Te 1.2972 4.6395 5.1574
Te 4.2617 1.4765 4.4607
Te 0.7827 1.8169 1.9822
Te 3.8717 4.7625 1.6028
Te -2.1817 4.9799 2.6788
Te -1.7918 1.6939 5.5367
```

Which formula does entry 2 have?
TlAgAu2F

What is the formula in the second record?
TlAgAu2F

The lowest density of states at the Fermi level belongs to which entry?
TlAgAu2F